# 1
This record from Alexandria via LeMat-Bulk describes an optimized crystal structure of PuTc4P2. The functional is GGA-PBE.

Unit cell a=7.1519 b=7.1519 c=3.9861 alpha=90.00 beta=90.00 gamma=147.23
Fractional positions:
Pu (0.0000, 0.0000, 0.0000)
Tc (0.1827, 0.8173, 0.5000)
Tc (0.3091, 0.6909, 0.0000)
Tc (0.6909, 0.3091, 0.0000)
Tc (0.8173, 0.1827, 0.5000)
P (0.4141, 0.5859, 0.5000)
P (0.5859, 0.4141, 0.5000)

Results
- Total moment: 4.8 μB/f.u.
- Space-group type: No. 65
- Uncorrected energy: -10.108 eV/atom
- Calculated volume: 15.8 Å³ per atom
- Relative energy among the computed polymorphs: 0.009 eV per atom

# 2
This record from Alexandria via LeMat-Bulk describes an optimized crystal structure of Be3Ag. The functional is GGA-PBE.

Unit cell a=7.8999 b=7.8999 c=7.8999 alpha=19.01 beta=19.01 gamma=19.01
Fractional positions:
Be (0.0000, 0.0000, 0.0000)
Be (0.2595, 0.2595, 0.2595)
Be (0.7405, 0.7405, 0.7405)
Ag (0.5000, 0.5000, 0.5000)

Results
- Total moment: 0.0 μB/f.u.
- Space-group type: No. 166
- Uncorrected energy: -3.112 eV/atom
- Calculated volume: 11.4 Å³ per atom
- Relative energy among the computed polymorphs: 0.254 eV per atom

# 3
This record from Alexandria via LeMat-Bulk describes an optimized crystal structure of DySnIr2. The functional is GGA-PBE.

Unit cell a=4.4338 b=4.4338 c=3.7804 alpha=90.00 beta=90.00 gamma=90.00
Fractional positions:
Dy (0.0000, 0.0000, 0.0000)
Sn (0.5000, 0.5000, 0.0000)
Ir (0.0000, 0.5000, 0.5000)
Ir (0.5000, 0.0000, 0.5000)

Results
- Total moment: 0.0 μB/f.u.
- Space-group type: No. 123
- Uncorrected energy: -7.126 eV/atom
- Calculated volume: 18.6 Å³ per atom

# 4
This record from Alexandria via LeMat-Bulk describes an optimized crystal structure of NdTlSi. The functional is GGA-PBE.

Unit cell a=9.6997 b=9.6997 c=3.8673 alpha=90.00 beta=90.00 gamma=154.77
Fractional positions:
Nd (0.0891, 0.9109, 0.7500)
Nd (0.9109, 0.0891, 0.2500)
Tl (0.2913, 0.7087, 0.7500)
Tl (0.7087, 0.2913, 0.2500)
Si (0.4627, 0.5373, 0.7500)
Si (0.5373, 0.4627, 0.2500)

Results
- Total moment: 0.0 μB/f.u.
- Space-group type: No. 63
- Formation energy from raw total energies: -0.481 eV per atom
- Uncorrected energy: -4.667 eV/atom
- Calculated volume: 25.8 Å³ per atom

# 5
This record from Alexandria via LeMat-Bulk describes an optimized crystal structure of ZnAu2I6. The functional is GGA-PBE.

Unit cell a=7.3012 b=7.5765 c=13.4338 alpha=90.00 beta=107.78 gamma=90.00
Fractional positions:
Zn (0.0000, 0.0000, 0.0000)
Zn (0.0000, 0.5000, 0.5000)
Au (0.3382, 0.1366, 0.8348)
Au (0.3382, 0.3634, 0.3348)
Au (0.6618, 0.6366, 0.6652)
Au (0.6618, 0.8634, 0.1652)
I (0.1036, 0.1842, 0.4261)
I (0.1036, 0.3158, 0.9261)
I (0.2367, 0.6670, 0.4156)
I (0.2367, 0.8330, 0.9156)
I (0.4175, 0.0468, 0.2573)
I (0.4175, 0.4532, 0.7573)
I (0.5825, 0.5468, 0.2427)
I (0.5825, 0.9532, 0.7427)
I (0.7633, 0.1670, 0.0844)
I (0.7633, 0.3330, 0.5844)
I (0.8964, 0.6842, 0.0739)
I (0.8964, 0.8158, 0.5739)

Results
- Total moment: 0.0 μB/f.u.
- Space-group type: No. 14
- Formation energy from raw total energies: -0.153 eV per atom
- Uncorrected energy: -2.057 eV/atom
- Calculated volume: 39.3 Å³ per atom

# 6
This record from Alexandria via LeMat-Bulk describes an optimized crystal structure of Zr2P3. The functional is GGA-PBE.

Unit cell a=8.7785 b=8.7785 c=8.7785 alpha=23.51 beta=23.51 gamma=23.51
Fractional positions:
Zr (0.1049, 0.1049, 0.1049)
Zr (0.8951, 0.8951, 0.8951)
P (0.2954, 0.2954, 0.2954)
P (0.5000, 0.5000, 0.5000)
P (0.7046, 0.7046, 0.7046)

Results
- Total moment: 0.0 μB/f.u.
- Space-group type: No. 166
- Uncorrected energy: -7.387 eV/atom
- Calculated volume: 18.9 Å³ per atom
- Relative energy among the computed polymorphs: 0.196 eV per atom

# 7
This record from Alexandria via LeMat-Bulk describes an optimized crystal structure of BaLa3Cl. The functional is GGA-PBE.

Unit cell a=5.7245 b=5.7245 c=5.7245 alpha=90.00 beta=90.00 gamma=90.00
Fractional positions:
Ba (0.0000, 0.0000, 0.0000)
La (0.0000, 0.5000, 0.5000)
La (0.5000, 0.0000, 0.5000)
La (0.5000, 0.5000, 0.0000)
Cl (0.5000, 0.5000, 0.5000)

Results
- Total moment: 0.0 μB/f.u.
- Space-group type: No. 221
- Formation energy from raw total energies: -0.520 eV per atom
- Uncorrected energy: -4.231 eV/atom
- Calculated volume: 37.5 Å³ per atom
- Relative energy among the computed polymorphs: 0.000 eV per atom

# 8
This record from Alexandria via LeMat-Bulk describes an optimized crystal structure of Y2HfTiCu. The functional is GGA-PBE.

Unit cell a=5.5825 b=5.5825 c=4.7656 alpha=90.00 beta=90.00 gamma=90.00
Fractional positions:
Y (0.0000, 0.5000, 0.0000)
Y (0.5000, 0.0000, 0.0000)
Hf (0.0000, 0.0000, 0.0000)
Ti (0.0000, 0.0000, 0.5000)
Cu (0.5000, 0.5000, 0.5000)

Results
- Total moment: 0.0 μB/f.u.
- Space-group type: No. 123
- Uncorrected energy: -5.902 eV/atom
- Calculated volume: 29.7 Å³ per atom

# 9
This record from Alexandria via LeMat-Bulk describes an optimized crystal structure of MnHgSbCl6. The functional is GGA-PBE.

Unit cell a=6.6601 b=6.8044 c=8.5050 alpha=85.81 beta=81.55 gamma=60.71
Fractional positions:
Mn (0.0000, 0.0000, 0.0000)
Hg (0.3008, 0.3999, 0.5000)
Sb (0.6599, 0.6801, 0.0000)
Cl (0.0197, 0.2640, 0.8305)
Cl (0.3216, 0.7175, 0.8416)
Cl (0.3242, 0.9605, 0.1783)
Cl (0.7148, 0.9612, 0.8217)
Cl (0.7165, 0.2633, 0.1695)
Cl (0.9612, 0.7168, 0.1583)

Results
- Total moment: 3.9 μB/f.u.
- Space-group type: No. 1
- Formation energy from raw total energies: -0.789 eV per atom
- Uncorrected energy: -3.531 eV/atom
- Calculated volume: 36.9 Å³ per atom

# 10
This record from Alexandria via LeMat-Bulk describes an optimized crystal structure of Tl3Cd9Sn2. The functional is GGA-PBE.

Unit cell a=9.2155 b=9.2155 c=9.2155 alpha=150.27 beta=101.66 gamma=85.95
Fractional positions:
Tl (0.0000, 0.0000, 0.0000)
Tl (0.2841, 0.2841, 0.0000)
Tl (0.7159, 0.7159, 0.0000)
Cd (0.0105, 0.6345, 0.3760)
Cd (0.1248, 0.8419, 0.2828)
Cd (0.2585, 0.6345, 0.6240)
Cd (0.4409, 0.1581, 0.2828)
Cd (0.5000, 0.0000, 0.5000)
Cd (0.5591, 0.8419, 0.7172)
Cd (0.7415, 0.3655, 0.3760)
Cd (0.8752, 0.1581, 0.7172)
Cd (0.9895, 0.3655, 0.6240)
Sn (0.3316, 0.5000, 0.8316)
Sn (0.6684, 0.5000, 0.1684)

Results
- Total moment: 0.0 μB/f.u.
- Space-group type: No. 71
- Uncorrected energy: -1.628 eV/atom
- Calculated volume: 26.5 Å³ per atom

# 11
This record from Alexandria via LeMat-Bulk describes an optimized crystal structure of VFe. The functional is GGA-PBE.

Unit cell a=4.6973 b=4.6973 c=4.5926 alpha=90.00 beta=90.00 gamma=90.00
Fractional positions:
V (0.2093, 0.2093, 0.0000)
V (0.2907, 0.7093, 0.5000)
V (0.7093, 0.2907, 0.5000)
V (0.7907, 0.7907, 0.0000)
Fe (0.2014, 0.2014, 0.5000)
Fe (0.2986, 0.7014, 0.0000)
Fe (0.7014, 0.2986, 0.0000)
Fe (0.7986, 0.7986, 0.5000)

Results
- Total moment: 0.0 μB/f.u.
- Space-group type: No. 136
- Uncorrected energy: -8.305 eV/atom
- Calculated volume: 12.7 Å³ per atom

# 12
This record from Alexandria via LeMat-Bulk describes an optimized crystal structure of Ba4Zr3CdO12. The functional is GGA-PBE.

Unit cell a=7.4098 b=7.4098 c=7.4098 alpha=109.47 beta=109.47 gamma=109.47
Fractional positions:
Ba (0.0000, 0.0000, 0.5000)
Ba (0.0000, 0.5000, 0.0000)
Ba (0.5000, 0.0000, 0.0000)
Ba (0.5000, 0.5000, 0.5000)
Zr (0.0000, 0.5000, 0.5000)
Zr (0.5000, 0.0000, 0.5000)
Zr (0.5000, 0.5000, 0.0000)
Cd (0.0000, 0.0000, 0.0000)
O (0.0000, 0.2588, 0.2588)
O (0.0000, 0.7412, 0.7412)
O (0.2500, 0.5000, 0.7500)
O (0.2500, 0.7500, 0.5000)
O (0.2588, 0.0000, 0.2588)
O (0.2588, 0.2588, 0.0000)
O (0.5000, 0.2500, 0.7500)
O (0.5000, 0.7500, 0.2500)
O (0.7412, 0.0000, 0.7412)
O (0.7412, 0.7412, 0.0000)
O (0.7500, 0.2500, 0.5000)
O (0.7500, 0.5000, 0.2500)

Results
- Total moment: 1.2 μB/f.u.
- Space-group type: No. 229
- Formation energy from raw total energies: -2.713 eV per atom
- Uncorrected energy: -7.400 eV/atom
- Calculated volume: 15.7 Å³ per atom

# 13
This record from Alexandria via LeMat-Bulk describes an optimized crystal structure of TiTeI2. The functional is GGA-PBE.

Unit cell a=7.7857 b=7.7857 c=7.7857 alpha=96.77 beta=96.77 gamma=139.84
Fractional positions:
Ti (0.0000, 0.0000, 0.0000)
Ti (0.7500, 0.2500, 0.5000)
Te (0.2500, 0.7500, 0.5000)
Te (0.5000, 0.5000, 0.0000)
I (0.3750, 0.0224, 0.1474)
I (0.7724, 0.6250, 0.6474)
I (0.8750, 0.2276, 0.8526)
I (0.9776, 0.1250, 0.3526)

Results
- Total moment: 0.2 μB/f.u.
- Space-group type: No. 122
- Formation energy from raw total energies: -0.337 eV per atom
- Uncorrected energy: -3.871 eV/atom
- Calculated volume: 35.7 Å³ per atom
- Relative energy among the computed polymorphs: 0.249 eV per atom

# 14
This record from Alexandria via LeMat-Bulk describes an optimized crystal structure of Pm2TmCu4. The functional is GGA-PBE.

Unit cell a=6.9256 b=6.9256 c=6.9256 alpha=136.60 beta=136.60 gamma=63.06
Fractional positions:
Pm (0.2088, 0.2088, 0.0000)
Pm (0.7912, 0.7912, 0.0000)
Tm (0.5000, 0.5000, 0.0000)
Cu (0.1087, 0.6087, 0.5000)
Cu (0.3913, 0.8913, 0.5000)
Cu (0.6087, 0.1087, 0.5000)
Cu (0.8913, 0.3913, 0.5000)

Results
- Total moment: 0.0 μB/f.u.
- Space-group type: No. 139
- Uncorrected energy: -4.343 eV/atom
- Calculated volume: 22.1 Å³ per atom

# 15
This record from Alexandria via LeMat-Bulk describes an optimized crystal structure of YErPt. The functional is GGA-PBE.

Unit cell a=4.8449 b=4.8449 c=4.8449 alpha=60.00 beta=60.00 gamma=60.00
Fractional positions:
Y (0.0000, 0.0000, 0.0000)
Er (0.5000, 0.5000, 0.5000)
Pt (0.2500, 0.2500, 0.2500)

Results
- Total moment: 0.0 μB/f.u.
- Space-group type: No. 216
- Uncorrected energy: -6.568 eV/atom
- Calculated volume: 26.8 Å³ per atom
- Relative energy among the computed polymorphs: 0.003 eV per atom

# 16
This record from Alexandria via LeMat-Bulk describes an optimized crystal structure of Re3SnRu. The functional is GGA-PBE.

Unit cell a=4.6989 b=4.6989 c=4.6989 alpha=90.00 beta=90.00 gamma=90.00
Fractional positions:
Re (0.0000, 0.0000, 0.5000)
Re (0.0000, 0.5000, 0.0000)
Re (0.5000, 0.0000, 0.0000)
Sn (0.5000, 0.5000, 0.5000)
Ru (0.0000, 0.0000, 0.0000)

Results
- Total moment: 1.4 μB/f.u.
- Space-group type: No. 221
- Uncorrected energy: -8.124 eV/atom
- Calculated volume: 20.8 Å³ per atom
- Relative energy among the computed polymorphs: 0.000 eV per atom

# 17
This record from Alexandria via LeMat-Bulk describes an optimized crystal structure of Sc5Mn4. The functional is GGA-PBE.

Unit cell a=6.5260 b=6.5260 c=6.5260 alpha=96.61 beta=96.61 gamma=140.33
Fractional positions:
Sc (0.0000, 0.0000, 0.0000)
Sc (0.3234, 0.3234, 0.6469)
Sc (0.3234, 0.6766, 0.0000)
Sc (0.6766, 0.3234, 0.0000)
Sc (0.6766, 0.6766, 0.3531)
Mn (0.0000, 0.3503, 0.3503)
Mn (0.0000, 0.6497, 0.6497)
Mn (0.3503, 0.0000, 0.3503)
Mn (0.6497, 0.0000, 0.6497)

Results
- Total moment: 10.5 μB/f.u.
- Space-group type: No. 139
- Uncorrected energy: -7.409 eV/atom
- Calculated volume: 18.5 Å³ per atom
- Relative energy among the computed polymorphs: 0.080 eV per atom

# 18
This record from Alexandria via LeMat-Bulk describes an optimized crystal structure of Sr2PbAu2. The functional is GGA-PBE.

Unit cell a=6.1010 b=6.1010 c=6.1010 alpha=120.03 beta=120.03 gamma=89.96
Fractional positions:
Sr (0.2500, 0.7500, 0.5000)
Sr (0.7500, 0.2500, 0.5000)
Pb (0.0000, 0.0000, 0.0000)
Au (0.3460, 0.3460, 0.0000)
Au (0.6540, 0.6540, 0.0000)

Results
- Total moment: 0.0 μB/f.u.
- Space-group type: No. 139
- Uncorrected energy: -3.264 eV/atom
- Calculated volume: 32.1 Å³ per atom

# 19
This record from Alexandria via LeMat-Bulk describes an optimized crystal structure of RbHo3Se4O12. The functional is GGA-PBE.

Unit cell a=7.6189 b=7.6189 c=7.6189 alpha=107.35 beta=107.35 gamma=107.35
Fractional positions:
Rb (0.0000, 0.0000, 0.0000)
Ho (0.0000, 0.5678, 0.4322)
Ho (0.4322, 0.0000, 0.5678)
Ho (0.5678, 0.4322, 0.0000)
Se (0.0675, 0.5000, 0.9325)
Se (0.5000, 0.5000, 0.5000)
Se (0.5000, 0.9325, 0.0675)
Se (0.9325, 0.0675, 0.5000)
O (0.0809, 0.6250, 0.7771)
O (0.1162, 0.8838, 0.5000)
O (0.2229, 0.3750, 0.9191)
O (0.3443, 0.6557, 0.5000)
O (0.3750, 0.9191, 0.2229)
O (0.5000, 0.1162, 0.8838)
O (0.5000, 0.3443, 0.6557)
O (0.6250, 0.7771, 0.0809)
O (0.6557, 0.5000, 0.3443)
O (0.7771, 0.0809, 0.6250)
O (0.8838, 0.5000, 0.1162)
O (0.9191, 0.2229, 0.3750)

Results
- Total moment: 0.8 μB/f.u.
- Space-group type: No. 155
- Formation energy from raw total energies: -1.627 eV per atom
- Uncorrected energy: -6.034 eV/atom
- Calculated volume: 18.2 Å³ per atom

# 20
This record from Alexandria via LeMat-Bulk describes an optimized crystal structure of TeP8. The functional is GGA-PBE.

Unit cell a=6.8192 b=6.8192 c=6.8192 alpha=95.54 beta=95.54 gamma=143.78
Fractional positions:
Te (0.0000, 0.0000, 0.0000)
P (0.0000, 0.3761, 0.3761)
P (0.0000, 0.6239, 0.6239)
P (0.2107, 0.2107, 0.4213)
P (0.2107, 0.7893, 0.0000)
P (0.3761, 0.0000, 0.3761)
P (0.6239, 0.0000, 0.6239)
P (0.7893, 0.2107, 0.0000)
P (0.7893, 0.7893, 0.5787)

Results
- Total moment: 0.0 μB/f.u.
- Space-group type: No. 139
- Formation energy from raw total energies: 0.426 eV per atom
- Uncorrected energy: -4.732 eV/atom
- Calculated volume: 19.8 Å³ per atom

# 21
This record from Alexandria via LeMat-Bulk describes an optimized crystal structure of TbCdCuAu. The functional is GGA-PBE.

Unit cell a=4.8515 b=4.8515 c=4.8515 alpha=60.00 beta=60.00 gamma=60.00
Fractional positions:
Tb (0.0000, 0.0000, 0.0000)
Cd (0.5000, 0.5000, 0.5000)
Cu (0.7500, 0.7500, 0.7500)
Au (0.2500, 0.2500, 0.2500)

Results
- Total moment: 0.0 μB/f.u.
- Space-group type: No. 216
- Uncorrected energy: -3.652 eV/atom
- Calculated volume: 20.2 Å³ per atom

# 22
This record from Alexandria via LeMat-Bulk describes an optimized crystal structure of Sc2TiBiN. The functional is GGA-PBE.

Unit cell a=4.6187 b=4.6187 c=4.1181 alpha=90.00 beta=90.00 gamma=90.00
Fractional positions:
Sc (0.0000, 0.5000, 0.0000)
Sc (0.5000, 0.0000, 0.0000)
Ti (0.0000, 0.0000, 0.5000)
Bi (0.5000, 0.5000, 0.5000)
N (0.0000, 0.0000, 0.0000)

Results
- Total moment: 0.7 μB/f.u.
- Space-group type: No. 123
- Formation energy from raw total energies: -0.892 eV per atom
- Uncorrected energy: -7.445 eV/atom
- Calculated volume: 17.6 Å³ per atom

# 23
This record from Alexandria via LeMat-Bulk describes an optimized crystal structure of CaBi2Pd2. The functional is GGA-PBE.

Unit cell a=6.5984 b=6.5984 c=6.5984 alpha=137.34 beta=137.34 gamma=61.91
Fractional positions:
Ca (0.0000, 0.0000, 0.0000)
Bi (0.3662, 0.3662, 0.0000)
Bi (0.6338, 0.6338, 0.0000)
Pd (0.2500, 0.7500, 0.5000)
Pd (0.7500, 0.2500, 0.5000)

Results
- Total moment: 0.0 μB/f.u.
- Space-group type: No. 139
- Uncorrected energy: -4.473 eV/atom
- Calculated volume: 26.1 Å³ per atom

# 24
This record from Alexandria via LeMat-Bulk describes an optimized crystal structure of HfZrSc2N. The functional is GGA-PBE.

Unit cell a=4.4154 b=4.4154 c=4.7797 alpha=90.00 beta=90.00 gamma=90.00
Fractional positions:
Hf (0.0000, 0.0000, 0.0000)
Zr (0.5000, 0.5000, 0.0000)
Sc (0.0000, 0.5000, 0.5000)
Sc (0.5000, 0.0000, 0.5000)
N (0.5000, 0.5000, 0.5000)

Results
- Total moment: 0.0 μB/f.u.
- Space-group type: No. 123
- Formation energy from raw total energies: -0.612 eV per atom
- Uncorrected energy: -8.510 eV/atom
- Calculated volume: 18.6 Å³ per atom
- Relative energy among the computed polymorphs: 0.005 eV per atom